Entry 1:
## ErScTlRu (PBE)

Data for ErScTlRu after structural relaxation.

- Formation enthalpy at 0 K: -0.46 eV per atom
- Distance to the lowest polymorph of the same formula: 0.000 eV per atom

abc: 3.299 3.299 8.006
angles: 90.00 90.00 90.00
Space group P4mm (No. 99)
Inequivalent atoms, fractional coordinates:
Er (0.000, 0.000, 0.000) (multiplicity 1)
Sc (0.000, 0.000, 0.598) (multiplicity 1)
Tl (0.500, 0.500, 0.314) (multiplicity 1)
Ru (0.500, 0.500, 0.782) (multiplicity 1)

---

Entry 2:
## PmHoIn2Te4 (PBE)

Data for PmHoIn2Te4 after structural relaxation.

- Formation energy from raw total energies: -0.975 eV per atom

abc: 7.706 4.448 8.504
angles: 90.00 107.56 90.00
Space group P2/m (No. 10)
Inequivalent atoms, fractional coordinates:
Pm (0.000, 0.000, 0.000) (multiplicity 1)
Ho (0.500, 0.500, 0.000) (multiplicity 1)
In (0.000, 0.500, 0.500) (multiplicity 1)
In (0.500, 0.000, 0.500) (multiplicity 1)
Te (0.248, 0.500, 0.224) (multiplicity 2)
Te (0.267, 0.000, 0.780) (multiplicity 2)